Entry 1:
Here is a geometry-optimized Nb6GaSb structure from Alexandria via LeMat-Bulk. Energies are from PBE. Values from VASP.

Cell and atoms, written as Quantum ESPRESSO input:
```
&SYSTEM
  ibrav = 0, nat = 8, ntyp = 3
/
ATOMIC_SPECIES
Nb 92.91 Nb.upf
Ga 69.72 Ga.upf
Sb 121.76 Sb.upf
ATOMIC_POSITIONS angstrom
Nb 0.0000 1.3057 2.6301
Nb 0.0000 3.9545 2.6301
Nb 1.3057 2.6301 0.0000
Nb 2.6301 0.0000 1.3057
Nb 2.6301 0.0000 3.9545
Nb 3.9545 2.6301 0.0000
Ga 0.0000 0.0000 0.0000
Sb 2.6301 2.6301 2.6301
CELL_PARAMETERS angstrom
5.2603 0.0000 0.0000
0.0000 5.2603 0.0000
0.0000 0.0000 5.2603
```

Summary:
* formation energy from raw total energies: -0.2268 eV per atom
* space-group type: Pm-3
* total magnetization: 0.00 μB/atom
* theoretical density: 8.54 g/cm3

Entry 2:
Here is a geometry-optimized Sc2WBr structure from Alexandria via LeMat-Bulk. Energies are from PBE. Values from VASP.

Cell and atoms, written as Quantum ESPRESSO input:
```
&SYSTEM
  ibrav = 0, nat = 4, ntyp = 3
/
ATOMIC_SPECIES
Sc 44.96 Sc.upf
W 183.84 W.upf
Br 79.90 Br.upf
ATOMIC_POSITIONS angstrom
Sc 0.0000 0.0000 0.0000
Sc 1.5404 0.0000 3.1426
W 4.4808 0.0000 2.6354
Br 7.9138 0.0000 0.7210
CELL_PARAMETERS angstrom
5.2938 -1.5397 0.0000
5.2938 1.5397 0.0000
-1.0764 0.0000 5.0224
```

Summary:
* formation energy from raw total energies: 0.1071 eV per atom
* space-group type: Cm
* total magnetization: 0.00 μB/atom
* excess energy over the best structure of this formula in the dataset: 377.6 meV per atom
* theoretical density: 7.17 g/cm3

V? In order: 18.19; 20.47 Å³ per atom.